No. 1
DFT (PBE) results for a geometry-optimized Ce2ZnRu structure.

CIF file:
```
data_Ce2ZnRu
_symmetry_space_group_name_H-M 'P 1'
_symmetry_Int_Tables_number 1
_cell_length_a 3.596
_cell_length_b 3.596
_cell_length_c 6.785
_cell_angle_alpha 90.00
_cell_angle_beta 90.00
_cell_angle_gamma 90.00
loop_
_symmetry_equiv_pos_as_xyz
'x,y,z'
loop_
_atom_site_label
_atom_site_type_symbol
_atom_site_fract_x
_atom_site_fract_y
_atom_site_fract_z
_atom_site_occupancy
Ce1 Ce 0.000 0.000 0.227 1
Ce2 Ce 0.000 0.000 0.773 1
Zn1 Zn 0.500 0.500 0.500 1
Ru1 Ru 0.500 0.500 0.000 1
```

ΔH_f (0 K): -264 meV/atom
Space-group type: No. 123

No. 2
DFT (PBE) results for a geometry-optimized Ce6ZnRu structure.

CIF file:
```
data_Ce6ZnRu
_symmetry_space_group_name_H-M 'P 1'
_symmetry_Int_Tables_number 1
_cell_length_a 8.821
_cell_length_b 8.821
_cell_length_c 8.821
_cell_angle_alpha 147.91
_cell_angle_beta 147.91
_cell_angle_gamma 46.01
loop_
_symmetry_equiv_pos_as_xyz
'x,y,z'
loop_
_atom_site_label
_atom_site_type_symbol
_atom_site_fract_x
_atom_site_fract_y
_atom_site_fract_z
_atom_site_occupancy
Ce1 Ce 0.110 0.610 0.500 1
Ce2 Ce 0.244 0.244 0.000 1
Ce3 Ce 0.390 0.890 0.500 1
Ce4 Ce 0.610 0.110 0.500 1
Ce5 Ce 0.756 0.756 0.000 1
Ce6 Ce 0.890 0.390 0.500 1
Zn1 Zn 0.500 0.500 0.000 1
Ru1 Ru 0.000 0.000 0.000 1
```

ΔH_f (0 K): -109 meV/atom
Space-group type: No. 139
Excess energy over the best structure of this formula in the dataset: 0.00 kcal/mol of atoms

No. 3
DFT (PBE) results for a geometry-optimized Ce2ZnRu4 structure.

CIF file:
```
data_Ce2ZnRu4
_symmetry_space_group_name_H-M 'P 1'
_symmetry_Int_Tables_number 1
_cell_length_a 5.862
_cell_length_b 5.862
_cell_length_c 5.862
_cell_angle_alpha 119.07
_cell_angle_beta 119.07
_cell_angle_gamma 91.62
loop_
_symmetry_equiv_pos_as_xyz
'x,y,z'
loop_
_atom_site_label
_atom_site_type_symbol
_atom_site_fract_x
_atom_site_fract_y
_atom_site_fract_z
_atom_site_occupancy
Ce1 Ce 0.250 0.750 0.500 1
Ce2 Ce 0.750 0.250 0.500 1
Zn1 Zn 0.000 0.000 0.000 1
Ru1 Ru 0.294 0.294 0.588 1
Ru2 Ru 0.294 0.706 0.000 1
Ru3 Ru 0.706 0.294 0.000 1
Ru4 Ru 0.706 0.706 0.412 1
```

ΔH_f (0 K): 113 meV/atom
Space-group type: No. 139

No. 4
DFT (PBE) results for a geometry-optimized CeZnRu structure.

CIF file:
```
data_CeZnRu
_symmetry_space_group_name_H-M 'P 1'
_symmetry_Int_Tables_number 1
_cell_length_a 4.624
_cell_length_b 4.624
_cell_length_c 5.633
_cell_angle_alpha 90.00
_cell_angle_beta 90.00
_cell_angle_gamma 90.00
loop_
_symmetry_equiv_pos_as_xyz
'x,y,z'
loop_
_atom_site_label
_atom_site_type_symbol
_atom_site_fract_x
_atom_site_fract_y
_atom_site_fract_z
_atom_site_occupancy
Ce1 Ce 0.249 0.250 0.142 1
Ce2 Ce 0.751 0.750 0.858 1
Zn1 Zn 0.251 0.750 0.500 1
Zn2 Zn 0.749 0.250 0.500 1
Ru1 Ru 0.249 0.250 0.741 1
Ru2 Ru 0.751 0.750 0.259 1
```

ΔH_f (0 K): -414 meV/atom
Space-group type: No. 11

No. 5
DFT (PBE) results for a geometry-optimized Ce2ZrRu structure.

CIF file:
```
data_Ce2ZrRu
_symmetry_space_group_name_H-M 'P 1'
_symmetry_Int_Tables_number 1
_cell_length_a 10.870
_cell_length_b 10.870
_cell_length_c 10.870
_cell_angle_alpha 16.32
_cell_angle_beta 16.32
_cell_angle_gamma 16.32
loop_
_symmetry_equiv_pos_as_xyz
'x,y,z'
loop_
_atom_site_label
_atom_site_type_symbol
_atom_site_fract_x
_atom_site_fract_y
_atom_site_fract_z
_atom_site_occupancy
Ce1 Ce 0.095 0.095 0.095 1
Ce2 Ce 0.905 0.905 0.905 1
Zr1 Zr 0.000 0.000 0.000 1
Ru1 Ru 0.500 0.500 0.500 1
```

ΔH_f (0 K): 191 meV/atom
Space-group type: No. 166

No. 6
DFT (PBE) results for a geometry-optimized CeZrRu4 structure.

CIF file:
```
data_CeZrRu4
_symmetry_space_group_name_H-M 'P 1'
_symmetry_Int_Tables_number 1
_cell_length_a 5.300
_cell_length_b 5.300
_cell_length_c 5.300
_cell_angle_alpha 60.00
_cell_angle_beta 60.00
_cell_angle_gamma 60.00
loop_
_symmetry_equiv_pos_as_xyz
'x,y,z'
loop_
_atom_site_label
_atom_site_type_symbol
_atom_site_fract_x
_atom_site_fract_y
_atom_site_fract_z
_atom_site_occupancy
Ce1 Ce 0.000 0.000 0.000 1
Zr1 Zr 0.750 0.750 0.750 1
Ru1 Ru 0.375 0.375 0.375 1
Ru2 Ru 0.375 0.375 0.874 1
Ru3 Ru 0.375 0.874 0.375 1
Ru4 Ru 0.874 0.375 0.375 1
```

ΔH_f (0 K): -242 meV/atom
Space-group type: No. 216

No. 7
DFT (PBE) results for a geometry-optimized CeZrRu2 structure.

CIF file:
```
data_CeZrRu2
_symmetry_space_group_name_H-M 'P 1'
_symmetry_Int_Tables_number 1
_cell_length_a 3.276
_cell_length_b 3.276
_cell_length_c 7.083
_cell_angle_alpha 90.00
_cell_angle_beta 90.00
_cell_angle_gamma 90.00
loop_
_symmetry_equiv_pos_as_xyz
'x,y,z'
loop_
_atom_site_label
_atom_site_type_symbol
_atom_site_fract_x
_atom_site_fract_y
_atom_site_fract_z
_atom_site_occupancy
Ce1 Ce 0.000 0.000 0.000 1
Zr1 Zr 0.000 0.000 0.500 1
Ru1 Ru 0.500 0.500 0.272 1
Ru2 Ru 0.500 0.500 0.728 1
```

ΔH_f (0 K): -434 meV/atom
Space-group type: No. 123

No. 8
DFT (PBE) results for a geometry-optimized Ce2S3 structure.

CIF file:
```
data_Ce2S3
_symmetry_space_group_name_H-M 'P 1'
_symmetry_Int_Tables_number 1
_cell_length_a 8.524
_cell_length_b 8.524
_cell_length_c 8.524
_cell_angle_alpha 155.13
_cell_angle_beta 155.13
_cell_angle_gamma 35.46
loop_
_symmetry_equiv_pos_as_xyz
'x,y,z'
loop_
_atom_site_label
_atom_site_type_symbol
_atom_site_fract_x
_atom_site_fract_y
_atom_site_fract_z
_atom_site_occupancy
Ce1 Ce 0.123 0.123 0.000 1
Ce2 Ce 0.877 0.877 0.000 1
S1 S 0.307 0.307 0.000 1
S2 S 0.500 0.500 0.000 1
S3 S 0.693 0.693 0.000 1
```

Raw formation energy: -8.68 eV per formula unit
Space-group type: No. 139

No. 9
DFT (PBE) results for a geometry-optimized Ce4S5 structure.

CIF file:
```
data_Ce4S5
_symmetry_space_group_name_H-M 'P 1'
_symmetry_Int_Tables_number 1
_cell_length_a 8.202
_cell_length_b 8.202
_cell_length_c 8.202
_cell_angle_alpha 154.31
_cell_angle_beta 116.29
_cell_angle_gamma 69.87
loop_
_symmetry_equiv_pos_as_xyz
'x,y,z'
loop_
_atom_site_label
_atom_site_type_symbol
_atom_site_fract_x
_atom_site_fract_y
_atom_site_fract_z
_atom_site_occupancy
Ce1 Ce 0.077 0.868 0.209 1
Ce2 Ce 0.340 0.132 0.209 1
Ce3 Ce 0.660 0.868 0.791 1
Ce4 Ce 0.923 0.132 0.791 1
S1 S 0.000 0.500 0.500 1
S2 S 0.252 0.752 0.500 1
S3 S 0.347 0.500 0.847 1
S4 S 0.653 0.500 0.153 1
S5 S 0.748 0.248 0.500 1
```

Raw formation energy: -13.71 eV per formula unit
Space-group type: No. 71

No. 10
DFT (PBE) results for a geometry-optimized CeS5 structure.

CIF file:
```
data_CeS5
_symmetry_space_group_name_H-M 'P 1'
_symmetry_Int_Tables_number 1
_cell_length_a 5.488
_cell_length_b 5.488
_cell_length_c 8.185
_cell_angle_alpha 102.25
_cell_angle_beta 102.25
_cell_angle_gamma 43.38
loop_
_symmetry_equiv_pos_as_xyz
'x,y,z'
loop_
_atom_site_label
_atom_site_type_symbol
_atom_site_fract_x
_atom_site_fract_y
_atom_site_fract_z
_atom_site_occupancy
Ce1 Ce 0.000 0.000 0.000 1
S1 S 0.354 0.354 0.732 1
S2 S 0.473 0.473 0.231 1
S3 S 0.679 0.679 0.243 1
S4 S 0.701 0.701 0.988 1
S5 S 0.922 0.922 0.665 1
```

Raw formation energy: -4.20 eV per formula unit
Space-group type: No. 8

No. 11
DFT (PBE) results for a geometry-optimized CeS3 structure.

CIF file:
```
data_CeS3
_symmetry_space_group_name_H-M 'P 1'
_symmetry_Int_Tables_number 1
_cell_length_a 5.636
_cell_length_b 5.636
_cell_length_c 5.636
_cell_angle_alpha 139.16
_cell_angle_beta 139.16
_cell_angle_gamma 59.13
loop_
_symmetry_equiv_pos_as_xyz
'x,y,z'
loop_
_atom_site_label
_atom_site_type_symbol
_atom_site_fract_x
_atom_site_fract_y
_atom_site_fract_z
_atom_site_occupancy
Ce1 Ce 0.000 0.000 0.000 1
S1 S 0.250 0.750 0.500 1
S2 S 0.500 0.500 0.000 1
S3 S 0.750 0.250 0.500 1
```

Raw formation energy: -3.81 eV per formula unit
Space-group type: No. 139

No. 12
DFT (PBE) results for a geometry-optimized Ce6S5 structure.

CIF file:
```
data_Ce6S5
_symmetry_space_group_name_H-M 'P 1'
_symmetry_Int_Tables_number 1
_cell_length_a 6.918
_cell_length_b 6.918
_cell_length_c 6.921
_cell_angle_alpha 99.63
_cell_angle_beta 99.63
_cell_angle_gamma 119.96
loop_
_symmetry_equiv_pos_as_xyz
'x,y,z'
loop_
_atom_site_label
_atom_site_type_symbol
_atom_site_fract_x
_atom_site_fract_y
_atom_site_fract_z
_atom_site_occupancy
Ce1 Ce 0.082 0.417 0.750 1
Ce2 Ce 0.249 0.249 0.253 1
Ce3 Ce 0.417 0.082 0.750 1
Ce4 Ce 0.583 0.918 0.250 1
Ce5 Ce 0.751 0.751 0.747 1
Ce6 Ce 0.918 0.583 0.250 1
S1 S 0.000 0.000 0.500 1
S2 S 0.166 0.834 0.000 1
S3 S 0.332 0.668 0.500 1
S4 S 0.668 0.332 0.500 1
S5 S 0.834 0.166 0.000 1
```

Raw formation energy: -19.55 eV per formula unit
Space-group type: No. 12